--- w ---
{"formula": "HfNbGe2", "functional": "PBE", "state": "optimized geometry", "cell": [[-3.0018, 3.0018, 5.9031], [3.0018, -3.0018, 5.9031], [3.0018, 3.0018, -5.9031]], "species": ["Hf", "Hf", "Nb", "Nb", "Ge", "Ge", "Ge", "Ge"], "fractional_positions": [[0.0000, 0.0000, 0.0000], [0.7500, 0.2500, 0.5000], [0.2500, 0.7500, 0.5000], [0.5000, 0.5000, 0.0000], [0.1409, 0.6250, 0.0159], [0.3750, 0.3909, 0.5159], [0.6091, 0.1250, 0.9841], [0.8750, 0.8591, 0.4841]], "n_ef_per_ev_cell": 6.71, "total_magnetization_mub_per_fu": 0.0}

***

--- x ---
{"formula": "HfNbGe2", "functional": "PBE", "state": "optimized geometry", "cell": [[3.2603, -1.8734, 0.0000], [3.2603, 1.8734, 0.0000], [-2.1461, 0.0000, 6.2527]], "species": ["Hf", "Nb", "Ge", "Ge"], "fractional_positions": [[0.0000, 0.0000, 0.0000], [0.5000, 0.5000, 0.5000], [0.2474, 0.2474, 0.7421], [0.7526, 0.7526, 0.2579]], "n_ef_per_ev_cell": 2.57, "total_magnetization_mub_per_fu": 0.0}

***

--- y ---
{"formula": "HfNbGe2", "functional": "PBE", "state": "optimized geometry", "cell": [[0.0000, 3.2824, 3.2824], [3.2824, 0.0000, 3.2824], [3.2824, 3.2824, 0.0000]], "species": ["Hf", "Nb", "Ge", "Ge"], "fractional_positions": [[0.0000, 0.0000, 0.0000], [0.5000, 0.5000, 0.5000], [0.2500, 0.2500, 0.2500], [0.7500, 0.7500, 0.7500]], "n_ef_per_ev_cell": 4.66, "total_magnetization_mub_per_fu": 0.0}

***

What should be chosen as the most stable of them? Choose x.

***

--- w ---
{"formula": "HfNb2Ge2", "functional": "PBE", "state": "optimized geometry", "cell": [[7.0145, 0.0000, 0.0000], [0.0000, 7.0145, 0.0000], [0.0000, 0.0000, 3.5640]], "species": ["Hf", "Hf", "Nb", "Nb", "Nb", "Nb", "Ge", "Ge", "Ge", "Ge"], "fractional_positions": [[0.0000, 0.0000, 0.0000], [0.5000, 0.5000, 0.0000], [0.1685, 0.3315, 0.5000], [0.3315, 0.8315, 0.5000], [0.6685, 0.1685, 0.5000], [0.8315, 0.6685, 0.5000], [0.1309, 0.6309, 0.0000], [0.3691, 0.1309, 0.0000], [0.6309, 0.8691, 0.0000], [0.8691, 0.3691, 0.0000]], "n_ef_per_ev_cell": 1.57, "total_magnetization_mub_per_fu": 0.0}

***

--- x ---
{"formula": "HfNb2Ge2", "functional": "PBE", "state": "optimized geometry", "cell": [[5.1353, -1.8269, 0.0000], [5.1353, 1.8269, 0.0000], [-1.2148, 0.0000, 5.0035]], "species": ["Hf", "Nb", "Nb", "Ge", "Ge"], "fractional_positions": [[0.0000, 0.0000, 0.0000], [0.3686, 0.3686, 0.4247], [0.6314, 0.6314, 0.5753], [0.2907, 0.2907, 0.8663], [0.7093, 0.7093, 0.1337]], "n_ef_per_ev_cell": 4.04, "total_magnetization_mub_per_fu": 0.0}

***

--- y ---
{"formula": "HfNb2Ge2", "functional": "PBE", "state": "optimized geometry", "cell": [[-1.9750, 1.9750, 5.9293], [1.9750, -1.9750, 5.9293], [1.9750, 1.9750, -5.9293]], "species": ["Hf", "Nb", "Nb", "Ge", "Ge"], "fractional_positions": [[0.0000, 0.0000, 0.0000], [0.2500, 0.7500, 0.5000], [0.7500, 0.2500, 0.5000], [0.4002, 0.4002, 0.0000], [0.5998, 0.5998, 0.0000]], "n_ef_per_ev_cell": 2.45, "total_magnetization_mub_per_fu": 0.0}

***

What should be chosen as the most stable of them? Choose w.

***

--- w ---
{"formula": "NdHfGe2", "functional": "PBE", "state": "optimized geometry", "cell": [[2.0952, -6.4057, 0.0000], [2.0952, 6.4057, 0.0000], [0.0000, 0.0000, 6.5342]], "species": ["Nd", "Nd", "Hf", "Hf", "Ge", "Ge", "Ge", "Ge"], "fractional_positions": [[0.0501, 0.9499, 0.7500], [0.9499, 0.0501, 0.2500], [0.2221, 0.7779, 0.2500], [0.7779, 0.2221, 0.7500], [0.3790, 0.6210, 0.5487], [0.3790, 0.6210, 0.9513], [0.6210, 0.3790, 0.0487], [0.6210, 0.3790, 0.4513]], "n_ef_per_ev_cell": 3.56, "total_magnetization_mub_per_fu": 0.0}

***

--- x ---
{"formula": "NdHfGe2", "functional": "PBE", "state": "optimized geometry", "cell": [[2.0202, 1.1664, 6.6955], [-2.0202, 1.1664, 6.6955], [0.0000, -2.3328, 6.6955]], "species": ["Nd", "Hf", "Ge", "Ge"], "fractional_positions": [[0.0000, 0.0000, 0.0000], [0.5000, 0.5000, 0.5000], [0.2396, 0.2396, 0.2396], [0.7604, 0.7604, 0.7604]], "n_ef_per_ev_cell": 2.24, "total_magnetization_mub_per_fu": 0.0}

***

What should be chosen as the most stable of them? Choose w.